No. 1
Entry from Alexandria: crystalline YMnTlS3 at its relaxed geometry (PBE).

Results
**ΔE_f (raw)**: -1.136 eV per atom
**Raw total energy**: -6.2000 eV/atom

```
12
Lattice="8.780 0.000 0.000 0.000 4.065 0.000 -2.632 0.000 9.099" Properties=species:S:1:pos:R:3 pbc="T T T"
Y 1.079 1.016 1.292
Y 5.069 3.049 7.807
Mn 2.678 3.049 3.504
Mn 3.470 1.016 5.596
Tl 0.514 3.049 7.116
Tl 5.634 1.016 1.983
S -1.861 1.016 7.694
S 1.473 1.016 4.133
S 2.971 3.049 1.187
S 3.177 1.016 7.912
S 4.675 3.049 4.967
S 8.009 3.049 1.405
```

=====

No. 2
Entry from Alexandria: crystalline Pm3DyHo6Tm2 at its relaxed geometry (PBE).

Results
**Formation energy**: 0.0199 eV/atom
**Raw total energy**: -4.5854 eV/atom

```
12
Lattice="3.077 -5.326 0.000 3.077 5.326 0.000 -2.044 0.000 11.571" Properties=species:S:1:pos:R:3 pbc="T T T"
Pm 0.000 0.000 0.000
Pm 3.077 1.777 0.000
Pm 3.077 -1.777 0.000
Dy 2.055 0.000 5.785
Ho 1.025 1.777 2.938
Ho 0.004 0.000 8.633
Ho 1.025 -1.777 2.938
Ho 3.084 1.777 8.633
Ho 4.105 0.000 2.938
Ho 3.084 -1.777 8.633
Tm 2.055 3.550 5.785
Tm 2.055 -3.550 5.785
```

=====

No. 3
Entry from Alexandria: crystalline LiCaTa3 at its relaxed geometry (PBE).

Results
**Formation energy**: 1.3083 eV/atom
**Distance to the lowest polymorph of the same formula**: 0.000 eV/atom
**Raw total energy**: -6.5864 eV/atom

```
5
Lattice="4.639 0.000 0.000 0.000 4.639 0.000 0.000 0.000 4.639" Properties=species:S:1:pos:R:3 pbc="T T T"
Li 0.000 0.000 0.000
Ca 2.320 2.320 2.320
Ta 0.000 0.000 2.320
Ta 0.000 2.320 0.000
Ta 2.320 0.000 0.000
```